Here is a relaxed structure of ReSeN2 from Alexandria. Energies are from PBE.

Lattice parameters (Å, degrees): 6.8801 6.8801 6.8801 24.60 24.60 24.60
Fractional positions:
Re: 0.5000 0.5000 0.5000
Se: 0.0000 0.0000 0.0000
N: 0.8940 0.8940 0.8940
N: 0.1060 0.1060 0.1060

Output
space group	No. 166
size of the total moment	0.00	μB/f.u.
formation energy (no corrections)	1.89	eV per formula unit